BaIrOs2 after structural relaxation. Source: Alexandria via LeMat-Bulk, functional PBE.

Summary:
E_tot ... -27.6 eV/f.u.
Formation energy from the elements ... 5.602 eV/f.u.
Space-group type ... Cmmm, No. 65
Energy relative to the lowest polymorph listed for this composition ... 1121 meV/atom

Cell lengths 5.294, 5.294, 2.844 Å; angles 90.00, 90.00, 111.27 degrees
Fractional positions:
Ir 0.000 0.500 0.500
Os 0.000 0.000 0.000
Os 0.500 0.500 0.000
Ba 0.500 0.000 0.500